1.
Below is a relaxed structure of AlCrFe, with properties calculated at the GGA-PBE level.

Cell lengths 6.3026, 6.1492, 2.5469 Å; angles 81.60, 74.84, 23.56 degrees
Positions (direct):
Al 0.0000 0.0000 0.0000
Cr 0.6734 0.6734 0.3266
Fe 0.3331 0.3331 0.6669

Computed properties:
- M_tot: 1.936 Bohr magnetons per cell
- ΔH_f (0 K): -0.012 eV per atom

2.
Below is a relaxed structure of Ce3Sm2TaN6, with properties calculated at the GGA-PBE level.

Cell lengths 6.0262, 6.0262, 6.0201 Å; angles 99.59, 99.59, 119.96 degrees
Positions (direct):
Ce 0.0000 0.0000 0.0000
Ce 0.3327 0.6673 0.0000
Ce 0.6673 0.3327 0.0000
Sm 0.1665 0.8335 0.5000
Sm 0.8335 0.1665 0.5000
Ta 0.5000 0.5000 0.5000
N 0.1245 0.4230 0.2690
N 0.2791 0.2791 0.7378
N 0.4230 0.1245 0.2690
N 0.5770 0.8755 0.7310
N 0.7209 0.7209 0.2622
N 0.8755 0.5770 0.7310

Computed properties:
- Raw formation energy: -1.4428 eV/atom
- M_tot: 0.000 Bohr magnetons per cell

3.
Below is a relaxed structure of MoAs2Se, with properties calculated at the GGA-PBE level.

Cell lengths 2.8311, 2.8311, 10.3724 Å; angles 90.00, 90.00, 104.39 degrees
Positions (direct):
Mo 0.0000 0.0000 0.0000
As 0.5000 0.5000 0.1912
As 0.5000 0.5000 0.8088
Se 0.0000 0.0000 0.5000

Computed properties:
- Raw formation energy: 0.2013 eV/atom
- M_tot: 0.000 Bohr magnetons per cell

4.
Below is a relaxed structure of LiAg2, with properties calculated at the GGA-PBE level.

Cell lengths 4.5153, 4.5153, 2.8541 Å; angles 90.00, 90.00, 120.00 degrees
Positions (direct):
Li 0.0000 0.0000 0.0000
Ag 0.3333 0.6667 0.7180
Ag 0.6667 0.3333 0.2820

Computed properties:
- M_tot: 0.000 Bohr magnetons per cell
- ΔH_f (0 K): -0.147 eV per atom

5.
Below is a relaxed structure of Cu3AuO, with properties calculated at the GGA-PBE level.

Cell lengths 4.0200, 4.0200, 4.0200 Å; angles 90.00, 90.00, 90.00 degrees
Positions (direct):
Cu 0.0000 0.0000 0.5000
Cu 0.0000 0.5000 0.0000
Cu 0.5000 0.0000 0.0000
Au 0.5000 0.5000 0.5000
O 0.0000 0.0000 0.0000

Computed properties:
- Raw formation energy: -0.1043 eV/atom
- M_tot: 0.000 Bohr magnetons per cell

6.
Below is a relaxed structure of Fe2SiCl, with properties calculated at the GGA-PBE level.

Cell lengths 7.0035, 7.0035, 7.0035 Å; angles 155.82, 151.19, 37.95 degrees
Positions (direct):
Fe 0.0000 0.0000 0.0000
Fe 0.8497 0.3497 0.5000
Si 0.3686 0.8686 0.5000
Cl 0.5989 0.5989 0.0000

Computed properties:
- Raw formation energy: 0.0205 eV/atom
- M_tot: 4.337 Bohr magnetons per cell

7.
Below is a relaxed structure of RbLaCdC2, with properties calculated at the GGA-PBE level.

Cell lengths 4.6563, 4.6563, 5.1856 Å; angles 90.00, 90.00, 90.00 degrees
Positions (direct):
Rb 0.0000 0.0000 0.0000
La 0.5000 0.5000 0.0000
Cd 0.0000 0.0000 0.5000
C 0.0000 0.5000 0.5000
C 0.5000 0.0000 0.5000

Computed properties:
- M_tot: 0.000 Bohr magnetons per cell
- ΔH_f (0 K): 2.103 eV per atom

8.
Below is a relaxed structure of TlIn2Ni2, with properties calculated at the GGA-PBE level.

Cell lengths 6.3492, 6.3492, 6.3492 Å; angles 140.78, 140.78, 56.67 degrees
Positions (direct):
Tl 0.0000 0.0000 0.0000
In 0.2500 0.7500 0.5000
In 0.7500 0.2500 0.5000
Ni 0.3938 0.3938 0.0000
Ni 0.6062 0.6062 0.0000

Computed properties:
- M_tot: 0.000 Bohr magnetons per cell
- ΔH_f (0 K): 0.189 eV per atom

9.
Below is a relaxed structure of LiInBr2, with properties calculated at the GGA-PBE level.

Cell lengths 6.7810, 6.7810, 4.8661 Å; angles 91.25, 91.25, 36.79 degrees
Positions (direct):
Li 0.0000 0.0000 0.0000
In 0.2852 0.2852 0.3033
Br 0.5370 0.5370 0.2503
Br 0.8234 0.8234 0.7889

Computed properties:
- Raw formation energy: -1.0266 eV/atom
- M_tot: 0.000 Bohr magnetons per cell

10.
Below is a relaxed structure of KMn2Fe, with properties calculated at the GGA-PBE level.

Cell lengths 8.3258, 8.3258, 8.3258 Å; angles 142.63, 142.63, 53.88 degrees
Positions (direct):
K 0.3750 0.6250 0.7500
K 0.6250 0.3750 0.2500
Mn 0.0000 0.0000 0.0000
Mn 0.0000 0.0000 0.5000
Mn 0.0000 0.5000 0.0000
Mn 0.5000 0.0000 0.5000
Fe 0.1250 0.8750 0.2500
Fe 0.8750 0.1250 0.7500

Computed properties:
- M_tot: 10.971 Bohr magnetons per cell
- ΔH_f (0 K): 1.212 eV per atom

11.
Below is a relaxed structure of Tl3Ge2Cl8, with properties calculated at the GGA-PBE level.

Cell lengths 10.1094, 10.1094, 10.1094 Å; angles 42.08, 42.08, 42.08 degrees
Positions (direct):
Tl 0.0000 0.0000 0.0000
Tl 0.2005 0.2005 0.2005
Tl 0.7995 0.7995 0.7995
Ge 0.3992 0.3992 0.3992
Ge 0.6008 0.6008 0.6008
Cl 0.2237 0.7327 0.7327
Cl 0.2673 0.2673 0.7763
Cl 0.2673 0.7763 0.2673
Cl 0.3052 0.3052 0.3052
Cl 0.6948 0.6948 0.6948
Cl 0.7327 0.2237 0.7327
Cl 0.7327 0.7327 0.2237
Cl 0.7763 0.2673 0.2673

Computed properties:
- Raw formation energy: -0.8205 eV/atom
- M_tot: 0.000 Bohr magnetons per cell

12.
Below is a relaxed structure of BaNa2ZrCl8, with properties calculated at the GGA-PBE level.

Cell lengths 6.5639, 6.5674, 8.8269 Å; angles 89.69, 89.65, 89.69 degrees
Positions (direct):
Ba 0.0000 0.0000 0.0000
Na 0.4967 0.4963 0.2403
Na 0.5033 0.5037 0.7597
Zr 0.0000 0.0000 0.5000
Cl 0.2020 0.8220 0.7018
Cl 0.2032 0.8234 0.2977
Cl 0.2511 0.2812 0.4989
Cl 0.2977 0.3354 0.9987
Cl 0.7023 0.6646 0.0013
Cl 0.7489 0.7188 0.5011
Cl 0.7968 0.1766 0.7023
Cl 0.7980 0.1780 0.2982

Computed properties:
- Raw formation energy: -1.9420 eV/atom
- M_tot: 0.000 Bohr magnetons per cell